[1]
Na3In4Sn4 after structural relaxation, computed with PBE-GGA.

Cell lengths 4.719, 7.999, 17.353 Å; angles 90.00, 90.00, 90.00 degrees
Space group Immm (No. 71)
Asymmetric unit:
Na1 0.000 0.000 0.000 (multiplicity 2)
Na2 0.000 0.500 0.111 (multiplicity 4)
In1 0.000 0.292 0.336 (multiplicity 8)
Sn1 0.000 0.000 0.223 (multiplicity 4)
Sn2 0.000 0.182 0.500 (multiplicity 4)

Values from the calculation:
**Energy relative to the elements**: -95 kJ/mol of formula units
**E above lowest polymorph**: 0.000 eV/atom

[2]
P2AuCl after structural relaxation, computed with PBE-GGA.

Cell lengths 3.187, 5.676, 8.413 Å; angles 90.00, 90.00, 90.00 degrees
Space group Immm (No. 71)
Asymmetric unit:
P1 0.000 0.000 0.228 (multiplicity 4)
Au1 0.000 0.500 0.500 (multiplicity 2)
Cl1 0.000 0.500 0.000 (multiplicity 2)

Values from the calculation:
**E above lowest polymorph**: 0.600 eV/atom
**Uncorrected formation energy**: 596 meV/atom

[3]
AlAuI4 after structural relaxation, computed with PBE-GGA.

Cell lengths 8.135, 8.135, 9.820 Å; angles 90.00, 90.00, 90.00 degrees
Space group P4_2/mmc (No. 131)
Asymmetric unit:
Al1 0.000 0.500 0.000 (multiplicity 2)
Au1 0.000 0.000 0.000 (multiplicity 2)
I1 0.231 0.271 0.000 (multiplicity 8)

Values from the calculation:
**E above lowest polymorph**: 0.252 eV/atom
**Uncorrected formation energy**: -187 meV/atom

[4]
DyTaRh2 after structural relaxation, computed with PBE-GGA.

Cell lengths 4.3924, 4.3924, 13.8736 Å; angles 90.00, 90.00, 120.00 degrees
Space group R-3m (No. 166, hexagonal axes)
Asymmetric unit:
Dy1 0.0000 0.0000 0.0000 (multiplicity 3)
Ta1 0.0000 0.0000 0.5000 (multiplicity 3)
Rh1 0.0000 0.0000 0.2205 (multiplicity 6)

Values from the calculation:
**Energy relative to the elements**: -196 kJ/mol of formula units
**E above lowest polymorph**: 0.094 eV/atom

[5]
Ta2MnAg after structural relaxation, computed with PBE-GGA.

Cell lengths 6.439, 6.439, 6.439 Å; angles 90.00, 90.00, 90.00 degrees
Space group F-43m (No. 216)
Asymmetric unit:
Ta1 0.000 0.000 0.000 (multiplicity 4)
Ta2 0.250 0.250 0.250 (multiplicity 4)
Mn1 0.250 0.250 0.750 (multiplicity 4)
Ag1 0.000 0.000 0.500 (multiplicity 4)

Values from the calculation:
**Energy relative to the elements**: 171 kJ/mol of formula units
**E above lowest polymorph**: 0.296 eV/atom

[6]
Be3ReSn after structural relaxation, computed with PBE-GGA.

Cell lengths 4.335, 4.335, 4.335 Å; angles 90.00, 90.00, 90.00 degrees
Space group Pm-3m (No. 221)
Asymmetric unit:
Be1 0.000 0.000 0.500 (multiplicity 3)
Re1 0.000 0.000 0.000 (multiplicity 1)
Sn1 0.500 0.500 0.500 (multiplicity 1)

Values from the calculation:
**Energy relative to the elements**: 427 kJ/mol of formula units
**E above lowest polymorph**: 0.000 eV/atom

[7]
Cd2PW after structural relaxation, computed with PBE-GGA.

Cell lengths 2.835, 2.835, 9.232 Å; angles 90.00, 90.00, 90.00 degrees
Space group P4/mmm (No. 123)
Asymmetric unit:
Cd1 0.000 0.000 0.244 (multiplicity 2)
P1 0.500 0.500 0.500 (multiplicity 1)
W1 0.500 0.500 0.000 (multiplicity 1)

Values from the calculation:
**Energy relative to the elements**: 253 kJ/mol of formula units
**E above lowest polymorph**: 0.534 eV/atom

[8]
BaBi3S after structural relaxation, computed with PBE-GGA.

Cell lengths 5.573, 5.573, 5.573 Å; angles 90.00, 90.00, 90.00 degrees
Space group Pm-3m (No. 221)
Asymmetric unit:
Ba1 0.000 0.000 0.000 (multiplicity 1)
Bi1 0.000 0.500 0.500 (multiplicity 3)
S1 0.500 0.500 0.500 (multiplicity 1)

Values from the calculation:
**E above lowest polymorph**: 0.000 eV/atom
**Uncorrected formation energy**: -211 meV/atom

[9]
Pd2PbS after structural relaxation, computed with PBE-GGA.

Cell lengths 4.2617, 4.2617, 14.8526 Å; angles 90.00, 90.00, 120.00 degrees
Space group R-3m (No. 166, hexagonal axes)
Asymmetric unit:
Pd1 0.0000 0.0000 0.2118 (multiplicity 6)
Pb1 0.0000 0.0000 0.0000 (multiplicity 3)
S1 0.0000 0.0000 0.5000 (multiplicity 3)

Values from the calculation:
**E above lowest polymorph**: 0.107 eV/atom
**Uncorrected formation energy**: -148 meV/atom

[10]
Cr2CuAs after structural relaxation, computed with PBE-GGA.

Cell lengths 6.720, 6.720, 4.981 Å; angles 90.00, 90.00, 90.00 degrees
Space group I-42d (No. 122)
Asymmetric unit:
Cr1 0.238 0.250 0.125 (multiplicity 8)
Cu1 0.000 0.000 0.500 (multiplicity 4)
As1 0.000 0.000 0.000 (multiplicity 4)

Values from the calculation:
**Energy relative to the elements**: 200 kJ/mol of formula units

[11]
MgHIr5 after structural relaxation, computed with PBE-GGA.

Cell lengths 3.958, 4.861, 5.507 Å; angles 105.54, 90.07, 113.90 degrees
Space group P1 (No. 1)
Asymmetric unit:
Mg1 0.000 0.000 0.000 (multiplicity 1)
H1 0.677 0.006 0.280 (multiplicity 1)
Ir1 0.010 0.017 0.515 (multiplicity 1)
Ir2 0.292 0.634 0.158 (multiplicity 1)
Ir3 0.324 0.666 0.662 (multiplicity 1)
Ir4 0.664 0.349 0.829 (multiplicity 1)
Ir5 0.672 0.384 0.351 (multiplicity 1)

Values from the calculation:
**E above lowest polymorph**: 0.024 eV/atom

[12]
CaCdHg14 after structural relaxation, computed with PBE-GGA.

Cell lengths 10.650, 7.259, 10.965 Å; angles 90.00, 90.00, 90.00 degrees
Space group Amm2 (No. 38)
Asymmetric unit:
Ca1 0.000 0.000 0.000 (multiplicity 2)
Cd1 0.000 0.000 0.532 (multiplicity 2)
Hg1 0.000 0.230 0.261 (multiplicity 4)
Hg2 0.244 0.225 0.452 (multiplicity 8)
Hg3 0.252 0.000 0.182 (multiplicity 4)
Hg4 0.253 0.000 0.720 (multiplicity 4)
Hg5 0.500 0.000 0.515 (multiplicity 2)
Hg6 0.500 0.000 0.991 (multiplicity 2)
Hg7 0.500 0.234 0.256 (multiplicity 4)

Values from the calculation:
**Energy relative to the elements**: -120 kJ/mol of formula units

[13]
Ca2NbSbTe after structural relaxation, computed with PBE-GGA.

Cell lengths 5.967, 5.967, 5.173 Å; angles 90.00, 90.00, 90.00 degrees
Space group P4/mmm (No. 123)
Asymmetric unit:
Ca1 0.000 0.500 0.000 (multiplicity 2)
Nb1 0.000 0.000 0.000 (multiplicity 1)
Sb1 0.000 0.000 0.500 (multiplicity 1)
Te1 0.500 0.500 0.500 (multiplicity 1)

Values from the calculation:
**Uncorrected formation energy**: 236 meV/atom

[14]
Dy2CuTe after structural relaxation, computed with PBE-GGA.

Cell lengths 3.765, 3.765, 6.817 Å; angles 90.00, 90.00, 90.00 degrees
Space group P4/mmm (No. 123)
Asymmetric unit:
Dy1 0.000 0.000 0.236 (multiplicity 2)
Cu1 0.500 0.500 0.000 (multiplicity 1)
Te1 0.500 0.500 0.500 (multiplicity 1)

Values from the calculation:
**E above lowest polymorph**: 0.164 eV/atom
**Uncorrected formation energy**: -593 meV/atom

[15]
Dy2Si4NiRh3 after structural relaxation, computed with PBE-GGA.

Cell lengths 4.064, 4.064, 9.922 Å; angles 90.00, 90.00, 90.00 degrees
Space group P-4m2 (No. 115)
Asymmetric unit:
Dy1 0.000 0.500 0.247 (multiplicity 2)
Si1 0.000 0.000 0.000 (multiplicity 1)
Si2 0.000 0.500 0.629 (multiplicity 2)
Si3 0.500 0.500 0.000 (multiplicity 1)
Ni1 0.000 0.000 0.500 (multiplicity 1)
Rh1 0.000 0.500 0.870 (multiplicity 2)
Rh2 0.500 0.500 0.500 (multiplicity 1)

Values from the calculation:
**Uncorrected formation energy**: -965 meV/atom

[16]
ReSbIr2 after structural relaxation, computed with PBE-GGA.

Cell lengths 4.000, 4.000, 4.013 Å; angles 90.00, 90.00, 90.00 degrees
Space group P4/mmm (No. 123)
Asymmetric unit:
Re1 0.000 0.000 0.000 (multiplicity 1)
Sb1 0.500 0.500 0.000 (multiplicity 1)
Ir1 0.000 0.500 0.500 (multiplicity 2)

Values from the calculation:
**Uncorrected formation energy**: 355 meV/atom

[17]
Ba8P3Br4N after structural relaxation, computed with PBE-GGA.

Cell lengths 9.1806, 9.1806, 24.0051 Å; angles 90.00, 90.00, 120.00 degrees
Space group R-3m (No. 166, hexagonal axes)
Asymmetric unit:
Ba1 0.0000 0.0000 0.2379 (multiplicity 6)
Ba2 0.0209 0.5104 0.2335 (multiplicity 18)
P1 0.0000 0.5000 0.5000 (multiplicity 9)
Br1 0.0000 0.0000 0.0000 (multiplicity 3)
Br2 0.0000 0.5000 0.0000 (multiplicity 9)
N1 0.0000 0.0000 0.5000 (multiplicity 3)

Values from the calculation:
**Uncorrected formation energy**: -1440 meV/atom

[18]
Be2In2Bi after structural relaxation, computed with PBE-GGA.

Cell lengths 8.212, 8.212, 3.085 Å; angles 90.00, 90.00, 90.00 degrees
Space group P4/mbm (No. 127)
Asymmetric unit:
Be1 0.160 0.340 0.000 (multiplicity 4)
In1 0.136 0.636 0.500 (multiplicity 4)
Bi1 0.000 0.000 0.500 (multiplicity 2)

Values from the calculation:
**Energy relative to the elements**: 301 kJ/mol of formula units
**E above lowest polymorph**: 0.091 eV/atom